Entry 1:
Below is a relaxed structure of Zn2Sn2Pb, with properties calculated at the PBE level.

Output
Crystal system = tetragonal
Calculated total energy = -2.72 eV per atom
Symmetry = I4/mmm, No. 139
Formation energy from the elements = 134 meV/atom
Energy above the most stable polymorph in this dataset = 3.5 kJ/mol of atoms

a = 6.830 Å, b = 6.830 Å, c = 6.830 Å
α = 140.76°, β = 140.76°, γ = 56.70°
Element x y z (fractional)
1 Zn 0.250 0.750 0.500
2 Zn 0.750 0.250 0.500
3 Sn 0.119 0.119 0.000
4 Sn 0.881 0.881 0.000
5 Pb 0.500 0.500 0.000



Entry 2:
Below is a relaxed structure of HoSnSb2, with properties calculated at the PBE level.

Output
Crystal system = tetragonal
Calculated total energy = -4.61 eV per atom
Symmetry = P4/mmm, No. 123
Energy above the most stable polymorph in this dataset = 4.0 kJ/mol of atoms

a = 5.146 Å, b = 5.146 Å, c = 4.051 Å
α = 90.00°, β = 90.00°, γ = 90.00°
Element x y z (fractional)
1 Ho 0.000 0.000 0.000
2 Sn 0.500 0.500 0.000
3 Sb 0.000 0.500 0.500
4 Sb 0.500 0.000 0.500



Entry 3:
Below is a relaxed structure of Dy19Y6Tm4, with properties calculated at the PBE level.

Output
Crystal system = cubic
Calculated total energy = -4.58 eV per atom
Symmetry = I23, No. 197
Formation energy from the elements = 386 meV/atom

a = 10.748 Å, b = 10.748 Å, c = 10.748 Å
α = 109.47°, β = 109.47°, γ = 109.47°
Element x y z (fractional)
1 Dy 0.000 0.000 0.000
2 Dy 0.000 0.259 0.259
3 Dy 0.000 0.741 0.741
4 Dy 0.019 0.213 0.677
5 Dy 0.194 0.981 0.658
6 Dy 0.213 0.677 0.019
7 Dy 0.259 0.000 0.259
8 Dy 0.259 0.259 0.000
9 Dy 0.323 0.536 0.342
10 Dy 0.342 0.323 0.536
11 Dy 0.464 0.787 0.806
12 Dy 0.536 0.342 0.323
13 Dy 0.658 0.194 0.981
14 Dy 0.677 0.019 0.213
15 Dy 0.741 0.000 0.741
16 Dy 0.741 0.741 0.000
17 Dy 0.787 0.806 0.464
18 Dy 0.806 0.464 0.787
19 Dy 0.981 0.658 0.194
20 Y 0.130 0.500 0.630
21 Y 0.370 0.870 0.500
22 Y 0.500 0.370 0.870
23 Y 0.500 0.630 0.130
24 Y 0.630 0.130 0.500
25 Y 0.870 0.500 0.370
26 Tm 0.000 0.000 0.358
27 Tm 0.000 0.358 0.000
28 Tm 0.358 0.000 0.000
29 Tm 0.642 0.642 0.642



Entry 4:
Below is a relaxed structure of Pm7Pr4Dy, with properties calculated at the PBE level.

Output
Crystal system = triclinic
Calculated total energy = -4.73 eV per atom
Symmetry = P-1, No. 2
Formation energy from the elements = 14 meV/atom
Energy above the most stable polymorph in this dataset = 0.0 kJ/mol of atoms

a = 6.381 Å, b = 7.377 Å, c = 9.139 Å
α = 90.05°, β = 103.47°, γ = 90.02°
Element x y z (fractional)
1 Pm 0.000 0.000 0.000
2 Pm 0.222 0.500 0.669
3 Pm 0.277 0.252 0.329
4 Pm 0.500 0.252 0.001
5 Pm 0.500 0.748 0.999
6 Pm 0.723 0.748 0.671
7 Pm 0.778 0.500 0.331
8 Pr 0.225 0.000 0.668
9 Pr 0.277 0.748 0.330
10 Pr 0.723 0.252 0.670
11 Pr 0.775 0.000 0.332
12 Dy 0.000 0.500 0.000



Entry 5:
Below is a relaxed structure of Ni5I3Cl12, with properties calculated at the PBE level.

Output
Crystal system = cubic
Calculated total energy = -2.92 eV per atom
Symmetry = Ia-3d, No. 230

a = 13.871 Å, b = 13.871 Å, c = 13.871 Å
α = 109.47°, β = 109.47°, γ = 109.47°
Element x y z (fractional)
1 Ni 0.000 0.000 0.000
2 Ni 0.000 0.000 0.500
3 Ni 0.000 0.500 0.000
4 Ni 0.000 0.500 0.500
5 Ni 0.125 0.750 0.875
6 Ni 0.125 0.875 0.250
7 Ni 0.250 0.125 0.875
8 Ni 0.250 0.625 0.375
9 Ni 0.375 0.250 0.625
10 Ni 0.375 0.625 0.750
11 Ni 0.500 0.000 0.000
12 Ni 0.500 0.000 0.500
13 Ni 0.500 0.500 0.000
14 Ni 0.500 0.500 0.500
15 Ni 0.625 0.375 0.250
16 Ni 0.625 0.750 0.375
17 Ni 0.750 0.375 0.625
18 Ni 0.750 0.875 0.125
19 Ni 0.875 0.125 0.750
20 Ni 0.875 0.250 0.125
21 I 0.125 0.250 0.375
22 I 0.125 0.375 0.750
23 I 0.250 0.375 0.125
24 I 0.250 0.875 0.625
25 I 0.375 0.125 0.250
26 I 0.375 0.750 0.125
27 I 0.625 0.250 0.875
28 I 0.625 0.875 0.750
29 I 0.750 0.125 0.375
30 I 0.750 0.625 0.875
31 I 0.875 0.625 0.250
32 I 0.875 0.750 0.625
33 Cl 0.007 0.680 0.128
34 Cl 0.007 0.827 0.879
35 Cl 0.052 0.673 0.680
36 Cl 0.052 0.879 0.372
37 Cl 0.121 0.628 0.948
38 Cl 0.121 0.993 0.173
39 Cl 0.128 0.007 0.680
40 Cl 0.128 0.621 0.448
41 Cl 0.173 0.121 0.993
42 Cl 0.173 0.552 0.180
43 Cl 0.180 0.173 0.552
44 Cl 0.180 0.507 0.628
45 Cl 0.320 0.872 0.993
46 Cl 0.320 0.948 0.327
47 Cl 0.327 0.320 0.948
48 Cl 0.327 0.507 0.379
49 Cl 0.372 0.052 0.879
50 Cl 0.372 0.820 0.493
51 Cl 0.379 0.327 0.507
52 Cl 0.379 0.552 0.872
53 Cl 0.448 0.128 0.621
54 Cl 0.448 0.820 0.827
55 Cl 0.493 0.372 0.820
56 Cl 0.493 0.621 0.673
57 Cl 0.507 0.379 0.327
58 Cl 0.507 0.628 0.180
59 Cl 0.552 0.180 0.173
60 Cl 0.552 0.872 0.379
61 Cl 0.621 0.448 0.128
62 Cl 0.621 0.673 0.493
63 Cl 0.628 0.180 0.507
64 Cl 0.628 0.948 0.121
65 Cl 0.673 0.493 0.621
66 Cl 0.673 0.680 0.052
67 Cl 0.680 0.052 0.673
68 Cl 0.680 0.128 0.007
69 Cl 0.820 0.493 0.372
70 Cl 0.820 0.827 0.448
71 Cl 0.827 0.448 0.820
72 Cl 0.827 0.879 0.007
73 Cl 0.872 0.379 0.552
74 Cl 0.872 0.993 0.320
75 Cl 0.879 0.007 0.827
76 Cl 0.879 0.372 0.052
77 Cl 0.948 0.121 0.628
78 Cl 0.948 0.327 0.320
79 Cl 0.993 0.173 0.121
80 Cl 0.993 0.320 0.872



Entry 6:
Below is a relaxed structure of Ba2LiMg3Pb4, with properties calculated at the PBE level.

Output
Crystal system = tetragonal
Calculated total energy = -2.92 eV per atom
Symmetry = P-4m2, No. 115
Formation energy from the elements = -378 meV/atom

a = 5.007 Å, b = 5.007 Å, c = 12.317 Å
α = 90.00°, β = 90.00°, γ = 90.00°
Element x y z (fractional)
1 Ba 0.000 0.500 0.241
2 Ba 0.500 0.000 0.759
3 Li 0.500 0.500 0.000
4 Mg 0.000 0.000 0.000
5 Mg 0.000 0.500 0.641
6 Mg 0.500 0.000 0.359
7 Pb 0.000 0.000 0.500
8 Pb 0.000 0.500 0.873
9 Pb 0.500 0.000 0.127
10 Pb 0.500 0.500 0.500



Entry 7:
Below is a relaxed structure of La2NpHgO8, with properties calculated at the PBE level.

Output
Crystal system = triclinic
Calculated total energy = -7.65 eV per atom
Symmetry = P-1, No. 2

a = 4.306 Å, b = 5.486 Å, c = 7.917 Å
α = 84.52°, β = 87.88°, γ = 82.10°
Element x y z (fractional)
1 La 0.017 0.027 0.245
2 La 0.983 0.973 0.755
3 Np 0.500 0.500 0.500
4 Hg 0.500 0.500 0.000
5 O 0.089 0.719 0.509
6 O 0.121 0.766 0.023
7 O 0.424 0.244 0.678
8 O 0.450 0.292 0.274
9 O 0.550 0.708 0.726
10 O 0.576 0.756 0.322
11 O 0.879 0.234 0.977
12 O 0.911 0.281 0.491



Entry 8:
Below is a relaxed structure of Nd4Cd2Ga, with properties calculated at the PBE level.

Output
Crystal system = trigonal
Calculated total energy = -3.64 eV per atom
Symmetry = R-3m, No. 166
Formation energy from the elements = -219 meV/atom

a = 9.127 Å, b = 9.127 Å, c = 9.127 Å
α = 33.98°, β = 33.98°, γ = 33.98°
Element x y z (fractional)
1 Nd 0.122 0.122 0.122
2 Nd 0.374 0.374 0.374
3 Nd 0.626 0.626 0.626
4 Nd 0.878 0.878 0.878
5 Cd 0.248 0.248 0.248
6 Cd 0.752 0.752 0.752
7 Ga 0.500 0.500 0.500



Entry 9:
Below is a relaxed structure of LaSc2F, with properties calculated at the PBE level.

Output
Crystal system = cubic
Calculated total energy = -4.87 eV per atom
Symmetry = Fm-3m, No. 225
Energy above the most stable polymorph in this dataset = 99.0 kJ/mol of atoms

a = 5.046 Å, b = 5.046 Å, c = 5.046 Å
α = 60.00°, β = 60.00°, γ = 60.00°
Element x y z (fractional)
1 La 0.000 0.000 0.000
2 Sc 0.250 0.250 0.250
3 Sc 0.750 0.750 0.750
4 F 0.500 0.500 0.500



Entry 10:
Below is a relaxed structure of Y3Ho2Tl2, with properties calculated at the PBE level.

Output
Crystal system = monoclinic
Calculated total energy = -4.96 eV per atom
Symmetry = C2/m, No. 12
Formation energy from the elements = -205 meV/atom

a = 5.405 Å, b = 5.405 Å, c = 8.619 Å
α = 108.30°, β = 108.30°, γ = 60.03°
Element x y z (fractional)
1 Y 0.000 0.000 0.000
2 Y 0.154 0.154 0.462
3 Y 0.846 0.846 0.538
4 Ho 0.425 0.425 0.276
5 Ho 0.575 0.575 0.724
6 Tl 0.283 0.283 0.850
7 Tl 0.717 0.717 0.150



Entry 11:
Below is a relaxed structure of Sr2Zn6NiPd, with properties calculated at the PBE level.

Output
Crystal system = orthorhombic
Calculated total energy = -2.45 eV per atom
Symmetry = Immm, No. 71
Formation energy from the elements = -247 meV/atom

a = 6.767 Å, b = 6.767 Å, c = 6.767 Å
α = 119.97°, β = 119.87°, γ = 90.14°
Element x y z (fractional)
1 Sr 0.250 0.250 0.000
2 Sr 0.750 0.750 0.000
3 Zn 0.258 0.242 0.500
4 Zn 0.258 0.758 0.015
5 Zn 0.258 0.758 0.500
6 Zn 0.742 0.242 0.500
7 Zn 0.742 0.242 0.985
8 Zn 0.742 0.758 0.500
9 Ni 0.500 0.000 0.500
10 Pd 0.000 0.500 0.500



Entry 12:
Below is a relaxed structure of Sc2SnSe, with properties calculated at the PBE level.

Output
Crystal system = orthorhombic
Calculated total energy = -6.11 eV per atom
Symmetry = Pmmn, No. 59
Energy above the most stable polymorph in this dataset = 0.0 kJ/mol of atoms

a = 3.741 Å, b = 5.758 Å, c = 8.500 Å
α = 90.00°, β = 90.00°, γ = 90.00°
Element x y z (fractional)
1 Sc 0.250 0.250 0.114
2 Sc 0.250 0.250 0.649
3 Sc 0.750 0.750 0.351
4 Sc 0.750 0.750 0.886
5 Sn 0.250 0.750 0.621
6 Sn 0.750 0.250 0.379
7 Se 0.250 0.750 0.116
8 Se 0.750 0.250 0.884



Entry 13:
Below is a relaxed structure of LiMg2Tl8, with properties calculated at the PBE level.

Output
Crystal system = monoclinic
Calculated total energy = -2.21 eV per atom
Symmetry = C2/m, No. 12
Formation energy from the elements = -21 meV/atom

a = 8.731 Å, b = 8.731 Å, c = 7.870 Å
α = 107.60°, β = 107.60°, γ = 32.00°
Element x y z (fractional)
1 Li 0.000 0.000 0.000
2 Mg 0.272 0.272 0.360
3 Mg 0.728 0.728 0.640
4 Tl 0.099 0.099 0.463
5 Tl 0.179 0.179 0.921
6 Tl 0.360 0.360 0.803
7 Tl 0.454 0.454 0.264
8 Tl 0.546 0.546 0.736
9 Tl 0.640 0.640 0.197
10 Tl 0.821 0.821 0.079
11 Tl 0.901 0.901 0.537



Entry 14:
Below is a relaxed structure of Tb8PrSn6, with properties calculated at the PBE level.

Output
Crystal system = trigonal
Calculated total energy = -4.94 eV per atom
Symmetry = R-3, No. 148
Formation energy from the elements = -551 meV/atom

a = 8.371 Å, b = 8.371 Å, c = 8.371 Å
α = 66.04°, β = 66.04°, γ = 66.04°
Element x y z (fractional)
1 Tb 0.065 0.393 0.724
2 Tb 0.167 0.167 0.167
3 Tb 0.276 0.935 0.607
4 Tb 0.393 0.724 0.065
5 Tb 0.607 0.276 0.935
6 Tb 0.724 0.065 0.393
7 Tb 0.833 0.833 0.833
8 Tb 0.935 0.607 0.276
9 Pr 0.500 0.500 0.500
10 Sn 0.093 0.771 0.433
11 Sn 0.229 0.567 0.907
12 Sn 0.433 0.093 0.771
13 Sn 0.567 0.907 0.229
14 Sn 0.771 0.433 0.093
15 Sn 0.907 0.229 0.567



Entry 15:
Below is a relaxed structure of Ac2NpMnSe6, with properties calculated at the PBE level.

Output
Crystal system = monoclinic
Calculated total energy = -6.56 eV per atom
Symmetry = P2_1/c, No. 14

a = 7.012 Å, b = 7.788 Å, c = 12.307 Å
α = 90.00°, β = 123.22°, γ = 90.00°
Element x y z (fractional)
1 Ac 0.209 0.098 0.247
2 Ac 0.209 0.402 0.747
3 Ac 0.791 0.598 0.253
4 Ac 0.791 0.902 0.753
5 Np 0.500 0.000 0.000
6 Np 0.500 0.500 0.500
7 Mn 0.000 0.000 0.500
8 Mn 0.000 0.500 0.000
9 Se 0.118 0.193 0.945
10 Se 0.118 0.307 0.445
11 Se 0.261 0.683 0.946
12 Se 0.261 0.817 0.446
13 Se 0.353 0.025 0.739
14 Se 0.353 0.475 0.239
15 Se 0.647 0.525 0.761
16 Se 0.647 0.975 0.261
17 Se 0.739 0.183 0.554
18 Se 0.739 0.317 0.054
19 Se 0.882 0.693 0.555
20 Se 0.882 0.807 0.055



Entry 16:
Below is a relaxed structure of PmY6Er3Th2, with properties calculated at the PBE level.

Output
Crystal system = monoclinic
Calculated total energy = -5.97 eV per atom
Symmetry = C2/m, No. 12
Formation energy from the elements = 34 meV/atom

a = 6.187 Å, b = 6.187 Å, c = 11.777 Å
α = 95.04°, β = 95.04°, γ = 119.95°
Element x y z (fractional)
1 Pm 0.000 0.000 0.000
2 Y 0.084 0.421 0.249
3 Y 0.254 0.254 0.750
4 Y 0.421 0.084 0.249
5 Y 0.579 0.916 0.751
6 Y 0.746 0.746 0.250
7 Y 0.916 0.579 0.751
8 Er 0.166 0.834 0.500
9 Er 0.500 0.500 0.500
10 Er 0.834 0.166 0.500
11 Th 0.333 0.667 0.000
12 Th 0.667 0.333 0.000



Entry 17:
Below is a relaxed structure of DyHo2Pt, with properties calculated at the PBE level.

Output
Crystal system = tetragonal
Calculated total energy = -5.55 eV per atom
Symmetry = P4/mmm, No. 123
Formation energy from the elements = -597 meV/atom
Energy above the most stable polymorph in this dataset = 12.4 kJ/mol of atoms

a = 3.560 Å, b = 3.560 Å, c = 8.357 Å
α = 90.00°, β = 90.00°, γ = 90.00°
Element x y z (fractional)
1 Dy 0.000 0.000 0.000
2 Ho 0.500 0.500 0.304
3 Ho 0.500 0.500 0.696
4 Pt 0.000 0.000 0.500



Entry 18:
Below is a relaxed structure of PaBP3, with properties calculated at the PBE level.

Output
Crystal system = monoclinic
Calculated total energy = -6.91 eV per atom
Symmetry = P2_1/c, No. 14
Formation energy from the elements = -432 meV/atom

a = 6.821 Å, b = 5.585 Å, c = 9.560 Å
α = 90.00°, β = 110.54°, γ = 90.00°
Element x y z (fractional)
1 Pa 0.147 0.230 0.160
2 Pa 0.147 0.270 0.660
3 Pa 0.853 0.730 0.340
4 Pa 0.853 0.770 0.840
5 B 0.490 0.242 0.497
6 B 0.490 0.258 0.997
7 B 0.510 0.742 0.003
8 B 0.510 0.758 0.503
9 P 0.078 0.729 0.147
10 P 0.078 0.771 0.647
11 P 0.287 0.507 0.445
12 P 0.287 0.993 0.945
13 P 0.493 0.000 0.651
14 P 0.493 0.500 0.151
15 P 0.507 0.000 0.349
16 P 0.507 0.500 0.849
17 P 0.713 0.007 0.055
18 P 0.713 0.493 0.555
19 P 0.922 0.229 0.353
20 P 0.922 0.271 0.853